a.
Computed, not measured: a crystal of YCrW2 relaxed with PBEsol at the meta-GGA SCAN level of DFT.

Values from the calculation:
- Fermi-level density of states: 3.2 states/eV per cell
- Calculated volume: 69.9 Å³ per cell
- Crystal system: tetragonal
- Magnetization: 3.11 μB/cell

Structure (POSCAR):
```
YCrW2
1.0
-1.8290 -2.5900 2.1641
2.7812 0.2379 2.6354
-2.8398 4.6663 -0.2203
Cr W Y
1 2 1
Direct
0.0000 0.0000 0.0000
0.7500 0.2500 0.5000
0.2500 0.7500 0.5000
0.5000 0.5000 0.0000
```

b.
Computed, not measured: a crystal of YCrW2 relaxed with PBEsol at the meta-GGA SCAN level of DFT.

Values from the calculation:
- Fermi-level density of states: 3.5 states/eV per cell
- Calculated volume: 66.4 Å³ per cell
- Crystal system: orthorhombic
- Magnetization: 0.00 μB/cell

Structure (POSCAR):
```
YCrW2
1.0
-1.7890 1.9835 -0.8090
-1.0918 -2.5351 -0.4127
-3.5818 0.1809 8.3640
Cr W Y
1 2 1
Direct
0.5000 0.5000 0.2236
0.0000 0.0000 0.0135
0.5000 0.5000 0.7750
0.0000 0.0000 0.4879
```

b takes first place; second place is 69 meV per atom up.